1.
Entry from Alexandria via LeMat-Bulk: a relaxed RbLaNb2Sb crystal (GGA-PBE).

Values from the calculation:
- SG = No. 123
- E_form (uncorrected) (kJ per mole of atoms) = 109.1

a = 5.2447 Å, b = 6.0784 Å, c = 5.2447 Å
α = 90.00°, β = 90.00°, γ = 90.00°
Last column: nearest neighbours and their distance in Å.
Atoms (fractional coordinates):
1 Rb 0.0000 0.5000 0.0000  2 Sb 3.04
2 Nb 0.5000 0.0000 0.0000  2 Sb 2.62
3 Sb 0.0000 0.0000 0.0000  4 Nb 2.62
4 La 0.5000 0.5000 0.5000  4 Rb 3.71, 8 Nb 4.01
5 Nb 0.0000 0.0000 0.5000  2 Sb 2.62

***

2.
Entry from Alexandria via LeMat-Bulk: a relaxed Rb2LaNbSe crystal (GGA-PBE).

Values from the calculation:
- SG = No. 123
- E_form (uncorrected) (kJ per mole of atoms) = 73.9

a = 6.1622 Å, b = 5.4529 Å, c = 6.1622 Å
α = 90.00°, β = 90.00°, γ = 90.00°
Last column: nearest neighbours and their distance in Å.
Atoms (fractional coordinates):
1 Rb 0.0000 0.0000 0.5000  2 Nb 3.08
2 Nb 0.0000 0.0000 0.0000  2 La 2.73
3 Se 0.5000 0.5000 0.5000  8 Rb 4.11, 4 La 4.36
4 La 0.0000 0.5000 0.0000  2 Nb 2.73
5 Rb 0.5000 0.0000 0.0000  2 Nb 3.08

***

Question: Number 2 is which compound?
Answer: Rb2LaNbSe